Entry 1:
# Rb2MgTcBr6

Rb2MgTcBr6 after structural relaxation (PBE-GGA, Alexandria via LeMat-Bulk).

The value obtained for the raw formation energy is -1.022 eV/atom. For the magnetic moment, the calculation gives 2.20 μB per formula unit. The calculated total energy comes out at -3.415 eV per atom.

The space group is Fm-3m (No. 225) and the conventional cell measures 10.6970, 10.6970 and 10.6970 Å, with angles of 90.00, 90.00 and 90.00 degrees. The inequivalent atoms are Rb at (0.2500, 0.2500, 0.2500), Mg at (0.0000, 0.0000, 0.0000), Tc at (0.0000, 0.0000, 0.5000) and Br at (0.0000, 0.0000, 0.2538).



Entry 2:
# Rb2MgTeBr6

Rb2MgTeBr6 after structural relaxation (PBE-GGA, Alexandria via LeMat-Bulk).

The value obtained for the raw formation energy is -1.129 eV/atom. For the magnetic moment, the calculation gives 0.00 μB per formula unit. The calculated total energy comes out at -2.800 eV per atom.

The space group is I4/mmm (No. 139) and the conventional cell measures 7.8666, 7.8666 and 12.5269 Å, with angles of 90.00, 90.00 and 90.00 degrees. The inequivalent atoms are Rb at (0.0000, 0.5000, 0.2500), Mg at (0.0000, 0.0000, 0.0000), Te at (0.0000, 0.0000, 0.5000), Br at (0.0000, 0.0000, 0.2013) and Br at (0.2473, 0.2473, 0.5000).



Entry 3:
# RbMgTiBr6

RbMgTiBr6 after structural relaxation (PBE-GGA, Alexandria via LeMat-Bulk).

The value obtained for the raw formation energy is -1.410 eV/atom. For the magnetic moment, the calculation gives 1.00 μB per formula unit. The calculated total energy comes out at -3.687 eV per atom.

The space group is P-31c (No. 163) and the conventional cell measures 6.9137, 6.9137 and 15.4628 Å, with angles of 90.00, 90.00 and 120.00 degrees. The inequivalent atoms are Rb at (0.0000, 0.0000, 0.0000), Mg at (0.3333, 0.6667, 0.2500), Ti at (0.3333, 0.6667, 0.7500) and Br at (0.0095, 0.3797, 0.6521).



Entry 4:
# RbMgTl2Br5

RbMgTl2Br5 after structural relaxation (PBE-GGA, Alexandria via LeMat-Bulk).

The value obtained for the raw formation energy is -1.248 eV/atom. For the magnetic moment, the calculation gives 0.00 μB per formula unit. The calculated total energy comes out at -2.988 eV per atom.

The space group is Immm (No. 71) and the conventional cell measures 5.2467, 7.8236 and 15.8753 Å, with angles of 90.00, 90.00 and 90.00 degrees. The inequivalent atoms are Rb at (0.0000, 0.0000, 0.0000), Mg at (0.0000, 0.0000, 0.5000), Tl at (0.0000, 0.5000, 0.2061), Br at (0.0000, 0.2427, 0.3776) and Br at (0.0000, 0.5000, 0.0000).



Entry 5:
# Rb3Mg2TlBr9

Rb3Mg2TlBr9 after structural relaxation (PBE-GGA, Alexandria via LeMat-Bulk).

The value obtained for the raw formation energy is -1.368 eV/atom. For the magnetic moment, the calculation gives 0.00 μB per formula unit. The calculated total energy comes out at -2.936 eV per atom.

The space group is P-3m1 (No. 164) and the conventional cell measures 7.8463, 7.8463 and 9.6510 Å, with angles of 90.00, 90.00 and 120.00 degrees. The inequivalent atoms are Rb at (0.0000, 0.0000, 0.0000), Rb at (0.3333, 0.6667, 0.6650), Mg at (0.3333, 0.6667, 0.1538), Tl at (0.0000, 0.0000, 0.5000), Br at (0.0000, 0.5000, 0.0000) and Br at (0.1760, 0.3520, 0.3228).



Entry 6:
# Rb3MgTl3Br8

Rb3MgTl3Br8 after structural relaxation (PBE-GGA, Alexandria via LeMat-Bulk).

The value obtained for the raw formation energy is -1.334 eV/atom. For the magnetic moment, the calculation gives 0.00 μB per formula unit. The calculated total energy comes out at -2.999 eV per atom.

The space group is R-3m (No. 166, hexagonal axes) and the conventional cell measures 9.6494, 9.6494 and 23.0251 Å, with angles of 90.00, 90.00 and 120.00 degrees. The inequivalent atoms are Rb at (0.0000, 0.5000, 0.0000), Mg at (0.0000, 0.0000, 0.0000), Tl at (0.0000, 0.5000, 0.5000), Br at (0.0000, 0.0000, 0.2480) and Br at (0.0644, 0.5322, 0.7363).



Entry 7:
# RbMgTlBr2

RbMgTlBr2 after structural relaxation (PBE-GGA, Alexandria via LeMat-Bulk).

The value obtained for the raw formation energy is -0.381 eV/atom. For the magnetic moment, the calculation gives 0.00 μB per formula unit. The calculated total energy comes out at -2.036 eV per atom.

The space group is P4/mmm (No. 123) and the conventional cell measures 6.3851, 6.3851 and 6.4546 Å, with angles of 90.00, 90.00 and 90.00 degrees. The inequivalent atoms are Rb at (0.0000, 0.0000, 0.0000), Mg at (0.0000, 0.0000, 0.5000), Tl at (0.5000, 0.5000, 0.5000) and Br at (0.0000, 0.5000, 0.0000).



Entry 8:
# Rb2MgTlBr5

Rb2MgTlBr5 after structural relaxation (PBE-GGA, Alexandria via LeMat-Bulk).

The value obtained for the raw formation energy is -1.426 eV/atom. For the magnetic moment, the calculation gives 0.00 μB per formula unit. The calculated total energy comes out at -3.010 eV per atom.

The space group is Immm (No. 71) and the conventional cell measures 5.2586, 7.7740 and 16.2755 Å, with angles of 90.00, 90.00 and 90.00 degrees. The inequivalent atoms are Rb at (0.0000, 0.0000, 0.2071), Mg at (0.0000, 0.5000, 0.5000), Tl at (0.0000, 0.5000, 0.0000), Br at (0.0000, 0.0000, 0.0000) and Br at (0.0000, 0.2520, 0.3817).



Entry 9:
# RbMgTl2Br8

RbMgTl2Br8 after structural relaxation (PBE-GGA, Alexandria via LeMat-Bulk).

The value obtained for the raw formation energy is -0.897 eV/atom. For the magnetic moment, the calculation gives 0.01 μB per formula unit. The calculated total energy comes out at -2.620 eV per atom.

The space group is P-3 (No. 147) and the conventional cell measures 7.1740, 7.1740 and 9.8295 Å, with angles of 90.00, 90.00 and 120.00 degrees. The inequivalent atoms are Rb at (0.0000, 0.0000, 0.0000), Mg at (0.0000, 0.0000, 0.5000), Tl at (0.3333, 0.6667, 0.7275), Br at (0.0369, 0.7183, 0.3365) and Br at (0.3333, 0.6667, 0.0001).



Entry 10:
# RbTmMg2Br8

RbTmMg2Br8 after structural relaxation (PBE-GGA, Alexandria via LeMat-Bulk).

The value obtained for the raw formation energy is -1.591 eV/atom. For the magnetic moment, the calculation gives 0.00 μB per formula unit. The calculated total energy comes out at -3.425 eV per atom.

The space group is P-1 (No. 2) and the conventional cell measures 6.9215, 6.9503 and 9.6013 Å, with angles of 76.19, 77.27 and 75.78 degrees. The inequivalent atoms are Rb at (0.0000, 0.0000, 0.0000), Tm at (0.0000, 0.0000, 0.5000), Mg at (0.4527, 0.4477, 0.2141), Br at (0.1861, 0.7278, 0.7214), Br at (0.2501, 0.7933, 0.2893), Br at (0.2740, 0.2443, 0.4574) and Br at (0.3540, 0.3148, 0.0192).



Entry 11:
# Mg2ReBr

Mg2ReBr after structural relaxation (PBE-GGA, Alexandria via LeMat-Bulk).

The value obtained for the raw formation energy is 0.290 eV/atom. For the magnetic moment, the calculation gives 0.00 μB per formula unit. As for the polymorph energy (0 for the lowest one): 189 meV/atom. The calculated total energy comes out at -4.038 eV per atom.

The space group is Cm (No. 8) and the conventional cell measures 10.6021, 2.9597 and 5.1007 Å, with angles of 90.00, 105.52 and 90.00 degrees. The inequivalent atoms are Mg at (0.0000, 0.0000, 0.0000), Mg at (0.2003, 0.0000, 0.6348), Re at (0.2376, 0.5000, 0.1224) and Br at (0.4204, 0.0000, 0.4443).



Entry 12:
# Mg2ReBr

Mg2ReBr after structural relaxation (PBE-GGA, Alexandria via LeMat-Bulk).

The value obtained for the raw formation energy is 0.327 eV/atom. For the magnetic moment, the calculation gives 0.00 μB per formula unit. As for the polymorph energy (0 for the lowest one): 226 meV/atom. The calculated total energy comes out at -4.001 eV per atom.

The space group is Imm2 (No. 44) and the conventional cell measures 2.9901, 4.7151 and 12.5348 Å, with angles of 90.00, 90.00 and 90.00 degrees. The inequivalent atoms are Mg at (0.0000, 0.0000, 0.0000), Mg at (0.0000, 0.5000, 0.1539), Re at (0.0000, 0.5000, 0.6837) and Br at (0.0000, 0.0000, 0.3522).



Entry 13:
# Mg2ReBr

Mg2ReBr after structural relaxation (PBE-GGA, Alexandria via LeMat-Bulk).

The value obtained for the raw formation energy is 0.525 eV/atom. For the magnetic moment, the calculation gives 0.66 μB per formula unit. As for the polymorph energy (0 for the lowest one): 424 meV/atom. The calculated total energy comes out at -3.803 eV per atom.

The space group is Pmm2 (No. 25) and the conventional cell measures 2.9502, 4.7708 and 5.6631 Å, with angles of 90.00, 90.00 and 90.00 degrees. The inequivalent atoms are Mg at (0.0000, 0.0000, 0.0000), Mg at (0.5000, 0.5000, 0.3485), Re at (0.0000, 0.0000, 0.4772) and Br at (0.5000, 0.5000, 0.8541).



Entry 14:
# MgReBr4

MgReBr4 after structural relaxation (PBE-GGA, Alexandria via LeMat-Bulk).

The value obtained for the raw formation energy is 1.245 eV/atom. For the magnetic moment, the calculation gives 3.28 μB per formula unit. The calculated total energy comes out at -2.210 eV per atom.

The space group is F-43m (No. 216) and the conventional cell measures 8.9645, 8.9645 and 8.9645 Å, with angles of 90.00, 90.00 and 90.00 degrees. The inequivalent atoms are Mg at (0.0000, 0.0000, 0.0000), Re at (0.2500, 0.2500, 0.7500) and Br at (0.1248, 0.1248, 0.3752).



Entry 15:
# MgRe3Br

MgRe3Br after structural relaxation (PBE-GGA, Alexandria via LeMat-Bulk).

The value obtained for the raw formation energy is 2.087 eV/atom. For the magnetic moment, the calculation gives 0.00 μB per formula unit. As for the polymorph energy (0 for the lowest one): 0 meV/atom. The calculated total energy comes out at -6.035 eV per atom.

The space group is Pm-3m (No. 221) and the conventional cell measures 4.5747, 4.5747 and 4.5747 Å, with angles of 90.00, 90.00 and 90.00 degrees. The inequivalent atoms are Mg at (0.0000, 0.0000, 0.0000), Re at (0.0000, 0.5000, 0.5000) and Br at (0.5000, 0.5000, 0.5000).



Entry 16:
# Mg2ReBr

Mg2ReBr after structural relaxation (PBE-GGA, Alexandria via LeMat-Bulk).

The value obtained for the raw formation energy is 0.870 eV/atom. For the magnetic moment, the calculation gives 2.14 μB per formula unit. As for the polymorph energy (0 for the lowest one): 770 meV/atom. The calculated total energy comes out at -3.457 eV per atom.

The space group is Fm-3m (No. 225) and the conventional cell measures 6.9170, 6.9170 and 6.9170 Å, with angles of 90.00, 90.00 and 90.00 degrees. The inequivalent atoms are Mg at (0.2500, 0.2500, 0.2500), Re at (0.0000, 0.0000, 0.0000) and Br at (0.0000, 0.0000, 0.5000).



Entry 17:
# Mg2ReBr

Mg2ReBr after structural relaxation (PBE-GGA, Alexandria via LeMat-Bulk).

The value obtained for the raw formation energy is 0.566 eV/atom. For the magnetic moment, the calculation gives 0.22 μB per formula unit. As for the polymorph energy (0 for the lowest one): 465 meV/atom. The calculated total energy comes out at -3.762 eV per atom.

The space group is Cmm2 (No. 35) and the conventional cell measures 3.0401, 5.3591 and 10.5725 Å, with angles of 90.00, 90.00 and 90.00 degrees. The inequivalent atoms are Mg at (0.0000, 0.0000, 0.0000), Mg at (0.0000, 0.5000, 0.2655), Re at (0.0000, 0.0000, 0.4848) and Br at (0.0000, 0.5000, 0.6769).



Entry 18:
# Mg2ReBr

Mg2ReBr after structural relaxation (PBE-GGA, Alexandria via LeMat-Bulk).

The value obtained for the raw formation energy is 0.147 eV/atom. For the magnetic moment, the calculation gives 0.93 μB per formula unit. As for the polymorph energy (0 for the lowest one): 46 meV/atom. The calculated total energy comes out at -4.181 eV per atom.

The space group is P4/mmm (No. 123) and the conventional cell measures 3.1104, 3.1104 and 8.0140 Å, with angles of 90.00, 90.00 and 90.00 degrees. The inequivalent atoms are Mg at (0.0000, 0.0000, 0.2267), Re at (0.5000, 0.5000, 0.0000) and Br at (0.5000, 0.5000, 0.5000).



Entry 19:
# Mg2ReBr

Mg2ReBr after structural relaxation (PBE-GGA, Alexandria via LeMat-Bulk).

The value obtained for the raw formation energy is 0.538 eV/atom. For the magnetic moment, the calculation gives 0.00 μB per formula unit. As for the polymorph energy (0 for the lowest one): 437 meV/atom. The calculated total energy comes out at -3.790 eV per atom.

The space group is P2/m (No. 10) and the conventional cell measures 5.0100, 2.9303 and 5.5637 Å, with angles of 90.00, 106.96 and 90.00 degrees. The inequivalent atoms are Mg at (0.0000, 0.0000, 0.0000), Mg at (0.5000, 0.5000, 0.5000), Re at (0.0000, 0.0000, 0.5000) and Br at (0.5000, 0.5000, 0.0000).



Entry 20:
# Mg2ReBr

Mg2ReBr after structural relaxation (PBE-GGA, Alexandria via LeMat-Bulk).

The value obtained for the raw formation energy is 0.736 eV/atom. For the magnetic moment, the calculation gives 0.00 μB per formula unit. As for the polymorph energy (0 for the lowest one): 635 meV/atom. The calculated total energy comes out at -3.592 eV per atom.

The space group is Pmmm (No. 47) and the conventional cell measures 3.0574, 4.8102 and 5.0926 Å, with angles of 90.00, 90.00 and 90.00 degrees. The inequivalent atoms are Mg at (0.0000, 0.0000, 0.0000), Mg at (0.5000, 0.0000, 0.5000), Re at (0.0000, 0.5000, 0.5000) and Br at (0.5000, 0.5000, 0.0000).